## LiPt (PBE)

Data for a relaxed LiPt crystal.

## Properties
Its size of the total moment is 0.0 μB/f.u. Its density is 11883 kg/m3. For the total energy, the calculation gives -35.21 eV per cell. The volume is 112.9 Å³ per cell.

Unit cell a=4.790 b=4.420 c=5.334 alpha=90.00 beta=90.00 gamma=90.00
Space group Pnma (No. 62)
Unique sites:
Li1 0.096 0.250 0.133 (multiplicity 4)
Pt1 0.087 0.250 0.638 (multiplicity 4)